(1)
VASP calculation (PBE) on ScTc2Hg after structural relaxation.

abc: 3.0788 3.0788 7.5157
angles: 90.00 90.00 90.00
Sites, in units of the cell vectors:
Hg 0.0000 0.0000 0.4859
Sc 0.5000 0.5000 0.7761
Tc 0.0000 0.0000 0.0267
Tc 0.5000 0.5000 0.2113

Computed properties:
DFT formation energy ... -74 meV per atom

(2)
VASP calculation (PBE) on LiBe after structural relaxation.

abc: 3.9704 3.9704 3.9704
angles: 59.98 59.98 59.98
Sites, in units of the cell vectors:
Be 0.1251 0.1251 0.1251
Be 0.8749 0.8749 0.8749
Li 0.3750 0.3750 0.3750
Li 0.6250 0.6250 0.6250

Computed properties:
Excess energy over the best structure of this formula in the dataset ... 0.20 eV per formula unit
DFT formation energy ... 227 meV per atom

(3)
VASP calculation (PBE) on BaEuCl after structural relaxation.

abc: 7.6015 4.2515 4.2515
angles: 120.00 90.00 90.00
Site moments in Bohr magnetons follow the coordinates.
Sites, in units of the cell vectors:
Eu 0.2712 0.3333 0.6667  7.06
Ba 0.7157 0.6667 0.3333  0.19
Cl 0.0131 0.0000 0.0000  0.01

Computed properties:
E_form (uncorrected) ... -314 kJ/mol of formula units

(4)
VASP calculation (PBE) on Sr2CI after structural relaxation.

abc: 7.6390 7.6390 7.1787
angles: 57.86 57.86 90.00
Site moments in Bohr magnetons follow the coordinates.
Sites, in units of the cell vectors:
I 0.0000 0.0000 0.0000  0.00
I 0.7500 0.2500 0.5000  0.00
Sr 0.5330 0.1250 0.2500  0.04
Sr 0.2170 0.6250 0.2500  0.04
Sr 0.3750 0.4670 0.7500  0.05
Sr 0.8750 0.7830 0.7500  0.05
C 0.5000 0.5000 0.0000  0.42
C 0.2500 0.7500 0.5000  0.42

Computed properties:
E_form (uncorrected) ... -38 kJ/mol of formula units

(5)
VASP calculation (PBE) on BaLiGa2Ru after structural relaxation.

abc: 4.8542 4.8542 5.0487
angles: 90.00 90.00 90.00
Sites, in units of the cell vectors:
Ru 0.0000 0.0000 0.0000
Ba 0.5000 0.5000 0.5000
Ga 0.0000 0.5000 0.0000
Ga 0.5000 0.0000 0.0000
Li 0.0000 0.0000 0.5000

Computed properties:
DFT formation energy ... -297 meV per atom

(6)
VASP calculation (PBE) on CuTe2MoI after structural relaxation.

abc: 5.1867 5.1867 5.8859
angles: 90.00 90.00 90.00
Site moments in Bohr magnetons follow the coordinates.
Sites, in units of the cell vectors:
I 0.0000 0.0000 0.5000  0.02
Mo 0.0000 0.0000 0.0000  0.54
Te 0.0000 0.5000 0.0000  -0.02
Te 0.5000 0.0000 0.0000  -0.02
Cu 0.5000 0.5000 0.5000  -0.01

Computed properties:
E_form (uncorrected) ... 356 kJ/mol of formula units
Excess energy over the best structure of this formula in the dataset ... 0.00 eV per formula unit

(7)
VASP calculation (PBE) on ThSi3Ir6 after structural relaxation.

abc: 5.5419 5.5399 6.8666
angles: 90.04 113.77 119.97
Sites, in units of the cell vectors:
Th 0.9075 0.9537 0.8613
Si 0.6502 0.3250 0.9771
Si 0.3204 0.6604 0.9788
Si 0.2379 0.1189 0.3563
Ir 0.2881 0.4000 0.6715
Ir 0.1797 0.6526 0.2699
Ir 0.7432 0.0903 0.2709
Ir 0.2711 0.8875 0.6709
Ir 0.7843 0.3837 0.6722
Ir 0.6177 0.5279 0.2712

Computed properties:
E_form (uncorrected) ... -641 kJ/mol of formula units

(8)
VASP calculation (PBE) on Na3SiP2 after structural relaxation.

abc: 6.4137 7.5624 7.9725
angles: 118.31 113.72 90.00
Sites, in units of the cell vectors:
Na 0.5000 0.2500 0.0000
Na 0.5000 0.7500 0.0000
Na 0.7689 0.0189 0.5379
Na 0.2311 0.4811 0.4621
Na 0.2311 0.9811 0.4621
Na 0.7689 0.5189 0.5379
Si 0.0000 0.5000 0.0000
Si 0.0000 0.0000 0.0000
P 0.6399 0.3811 0.7623
P 0.8777 0.1189 0.2377
P 0.1223 0.8811 0.7623
P 0.3601 0.6189 0.2377

Computed properties:
E_form (uncorrected) ... -49 kJ/mol of formula units

(9)
VASP calculation (PBE) on HRhS2 after structural relaxation.

abc: 5.0689 5.0689 5.7863
angles: 64.02 64.02 90.00
Sites, in units of the cell vectors:
H 0.5000 0.5000 0.0000
H 0.2500 0.7500 0.5000
S 0.5833 0.1250 0.2500
S 0.1667 0.6250 0.2500
S 0.3750 0.4167 0.7500
S 0.8750 0.8333 0.7500
Rh 0.0000 0.0000 0.0000
Rh 0.7500 0.2500 0.5000

Computed properties:
Excess energy over the best structure of this formula in the dataset ... 2.06 eV per formula unit

(10)
VASP calculation (PBE) on BaNb3W after structural relaxation.

abc: 5.0677 5.0677 5.0677
angles: 90.00 90.00 90.00
Site moments in Bohr magnetons follow the coordinates.
Sites, in units of the cell vectors:
Nb 0.0000 0.5000 0.0000  0.10
Nb 0.0000 0.0000 0.5000  0.04
Nb 0.5000 0.0000 0.0000  0.17
Ba 0.5000 0.5000 0.5000  0.03
W 0.0000 0.0000 0.0000  -0.03

Computed properties:
Excess energy over the best structure of this formula in the dataset ... 0.00 eV per formula unit
DFT formation energy ... 1150 meV per atom

no.,total DFT energy (no corrections) (eV/atom),magnetic moment (μB per atom),density of states at the Fermi level (states/eV per cell)
1,-6.915,0.000,3.6
2,-2.593,0.000,1.7
3,-5.765,2.782,3.1
4,-3.633,0.250,3.1
5,-4.130,0.000,2.1
6,-3.815,0.113,4.4
7,-8.350,0.000,5.2
8,-3.452,0.000,7.8
9,-4.567,0.000,3.1
10,-7.867,0.086,5.3